# 1
{
  "formula": "Sb2MoRh",
  "functional": "PBE-GGA",
  "state": "relaxed",
  "formation_energy_uncorrected_mev_per_atom": 506,
  "crystal_system": "cubic",
  "cell": [[4.786, 0.000, 0.000], [2.393, 4.145, 0.000], [2.393, 1.382, 3.908]],
  "species": ["Rh", "Sb", "Sb", "Mo"],
  "fractional_positions": [[0.750, 0.750, 0.750], [0.250, 0.250, 0.250], [0.000, 0.000, 0.000], [0.500, 0.500, 0.500]]
}

=====

# 2
{
  "formula": "Na2TaAl",
  "functional": "PBE-GGA",
  "state": "relaxed",
  "e_form_ev_per_fu": 4.670,
  "crystal_system": "tetragonal",
  "cell": [[-6.143, -3.326, -4.625], [0.193, -6.919, 4.720], [-4.839, -4.024, 1.734]],
  "species": ["Ta", "Al", "Al", "Na", "Na", "Ta", "Na", "Na"],
  "fractional_positions": [[0.000, 0.000, 0.000], [0.250, 0.750, 0.500], [0.500, 0.500, 0.000], [0.375, 0.398, 0.750], [0.602, 0.125, 0.250], [0.750, 0.250, 0.500], [0.875, 0.852, 0.750], [0.148, 0.625, 0.250]]
}

=====

# 3
{
  "formula": "RbCd3Rh",
  "functional": "PBE-GGA",
  "state": "relaxed",
  "e_form_ev_per_fu": 0.222,
  "polymorph_energy_mev_per_atom": 152.3,
  "crystal_system": "cubic",
  "cell": [[1.138, -8.811, 4.917], [1.824, -0.041, 9.989], [-7.166, -3.174, 6.456]],
  "species": ["Cd", "Cd", "Rb", "Rh", "Cd", "Cd", "Rh", "Rb", "Rb", "Cd", "Rh", "Cd", "Rb", "Rh", "Cd", "Cd", "Cd", "Cd", "Cd", "Cd"],
  "fractional_positions": [[0.673, 0.327, 0.327], [0.673, 0.327, 0.673], [0.125, 0.125, 0.625], [0.625, 0.625, 0.125], [0.923, 0.923, 0.577], [0.673, 0.673, 0.327], [0.625, 0.125, 0.625], [0.625, 0.125, 0.125], [0.125, 0.125, 0.125], [0.923, 0.577, 0.577], [0.125, 0.625, 0.625], [0.327, 0.327, 0.673], [0.125, 0.625, 0.125], [0.625, 0.625, 0.625], [0.923, 0.577, 0.923], [0.327, 0.673, 0.673], [0.577, 0.577, 0.923], [0.577, 0.923, 0.923], [0.327, 0.673, 0.327], [0.577, 0.923, 0.577]]
}

=====

# 4
{
  "formula": "Tl2CoC",
  "functional": "PBE-GGA",
  "state": "relaxed",
  "e_form_ev_per_fu": 6.261,
  "polymorph_energy_mev_per_atom": 0.0,
  "crystal_system": "tetragonal",
  "cell": [[-3.430, 4.494, -3.606], [-5.205, -4.216, -0.303], [-5.548, 1.455, 0.856]],
  "species": ["Co", "Tl", "C", "Co", "Tl", "C", "Tl", "Tl"],
  "fractional_positions": [[0.000, 0.000, 0.000], [0.586, 0.125, 0.250], [0.250, 0.750, 0.500], [0.750, 0.250, 0.500], [0.164, 0.625, 0.250], [0.500, 0.500, 0.000], [0.875, 0.836, 0.750], [0.375, 0.414, 0.750]]
}

=====

# 5
{
  "formula": "Rb2HfIrBr6",
  "functional": "PBE-GGA",
  "state": "relaxed",
  "formation_energy_uncorrected_mev_per_atom": -890,
  "crystal_system": "tetragonal",
  "cell": [[8.250, 0.000, 0.000], [0.000, 8.250, 0.000], [4.125, 4.125, 5.012]],
  "species": ["Br", "Br", "Rb", "Br", "Hf", "Rb", "Ir", "Br", "Br", "Br"],
  "fractional_positions": [[0.728, 0.272, 0.000], [0.272, 0.728, 0.000], [0.250, 0.750, 0.500], [0.241, 0.241, 0.518], [0.500, 0.500, 0.000], [0.750, 0.250, 0.500], [0.000, 0.000, 0.000], [0.728, 0.728, 0.000], [0.759, 0.759, 0.482], [0.272, 0.272, 0.000]]
}

=====

# 6
{
  "formula": "InOs2Cl",
  "functional": "PBE-GGA",
  "state": "relaxed",
  "polymorph_energy_mev_per_atom": 893.8,
  "formation_energy_uncorrected_mev_per_atom": 1159,
  "crystal_system": "orthorhombic",
  "cell": [[2.918, 0.000, 0.000], [0.000, 4.363, 0.000], [0.000, 0.000, 6.533]],
  "species": ["In", "Os", "Cl", "Os"],
  "fractional_positions": [[0.500, 0.500, 0.750], [0.000, 0.000, 0.577], [0.500, 0.500, 0.250], [0.000, 0.000, 0.923]]
}

=====

# 7
{
  "formula": "CrTe2Rh",
  "functional": "PBE-GGA",
  "state": "relaxed",
  "polymorph_energy_mev_per_atom": 84.6,
  "formation_energy_uncorrected_mev_per_atom": -56,
  "crystal_system": "orthorhombic",
  "cell": [[-2.511, 0.393, -4.966], [-1.348, -3.140, -4.409], [-3.578, -0.904, 1.738]],
  "species": ["Te", "Te", "Cr", "Rh"],
  "fractional_positions": [[0.978, 0.978, 0.875], [0.262, 0.262, 0.375], [0.540, 0.540, 0.375], [0.720, 0.720, 0.875]]
}

=====

# 8
{
  "formula": "ErBi2Pb",
  "functional": "PBE-GGA",
  "state": "relaxed",
  "e_form_ev_per_fu": -1.042,
  "polymorph_energy_mev_per_atom": 57.0,
  "crystal_system": "trigonal",
  "cell": [[4.454, 0.000, 0.000], [2.227, 3.857, 0.000], [2.227, 1.286, 7.854]],
  "species": ["Er", "Bi", "Pb", "Bi"],
  "fractional_positions": [[0.000, 0.000, 0.000], [0.256, 0.256, 0.232], [0.500, 0.500, 0.500], [0.744, 0.744, 0.768]]
}

=====

# 9
{
  "formula": "LiCeAlIr",
  "functional": "PBE-GGA",
  "state": "relaxed",
  "e_form_ev_per_fu": -2.039,
  "crystal_system": "cubic",
  "cell": [[-0.343, 3.563, -2.999], [-3.423, 0.057, -3.177], [-3.506, 3.059, 0.399]],
  "species": ["Ce", "Li", "Ir", "Al"],
  "fractional_positions": [[0.000, 0.000, 0.000], [0.750, 0.750, 0.750], [0.250, 0.250, 0.250], [0.500, 0.500, 0.500]]
}

=====

# 10
{
  "formula": "LaY2CdRh",
  "functional": "PBE-GGA",
  "state": "relaxed",
  "e_form_ev_per_fu": -1.515,
  "crystal_system": "tetragonal",
  "cell": [[-3.865, -3.793, -0.043], [0.210, -0.275, 5.404], [-3.825, 3.894, 0.347]],
  "species": ["Y", "Y", "Rh", "Cd", "La"],
  "fractional_positions": [[0.000, 0.500, 0.000], [0.500, 0.000, 0.000], [0.000, 0.000, 0.000], [0.500, 0.500, 0.500], [0.000, 0.000, 0.500]]
}

=====

# 11
{
  "formula": "Ba2ZnAgPt",
  "functional": "PBE-GGA",
  "state": "relaxed",
  "e_form_ev_per_fu": -1.872,
  "polymorph_energy_mev_per_atom": 74.0,
  "crystal_system": "tetragonal",
  "cell": [[6.087, 0.000, 0.000], [0.000, 6.087, 0.000], [0.000, 0.000, 4.908]],
  "species": ["Ag", "Ba", "Zn", "Pt", "Ba"],
  "fractional_positions": [[0.500, 0.500, 0.500], [0.000, 0.500, 0.000], [0.000, 0.000, 0.500], [0.000, 0.000, 0.000], [0.500, 0.000, 0.000]]
}

=====

# 12
{
  "formula": "BaInAs2",
  "functional": "PBE-GGA",
  "state": "relaxed",
  "e_form_ev_per_fu": -1.842,
  "crystal_system": "monoclinic",
  "cell": [[-1.621, 5.641, 1.337], [-5.063, 3.133, 0.890], [0.104, -1.044, 5.057]],
  "species": ["As", "As", "In", "Ba"],
  "fractional_positions": [[0.962, 0.962, 0.059], [0.793, 0.793, 0.762], [0.231, 0.231, 0.116], [0.514, 0.514, 0.562]]
}

=====

The spin magnetization results, record by record, are as follows: 1.082; 2.068; 0.000; 1.050; 1.000; 0.000; 3.330; 0.000; 0.000; 0.000; 0.000; 0.000 μB/f.u..